Computed, not measured: crystalline LaHoIn2Pd4 at its relaxed geometry at the PBE level of DFT.

Results
The crystal system is hexagonal. As for the uncorrected energy: -0.194 hartree per atom.

Unit cell a=4.643 b=4.643 c=9.096 alpha=90.00 beta=90.00 gamma=120.00
Fractional coordinates of all 8 atoms:
La  0.000  0.000  0.000
Ho  0.333  0.667  0.500
In  0.667  0.333  0.263
In  0.667  0.333  0.737
Pd  0.000  0.000  0.341
Pd  0.000  0.000  0.659
Pd  0.333  0.667  0.175
Pd  0.333  0.667  0.825

=====

Computed, not measured: crystalline LaHoZn2In2 at its relaxed geometry at the PBE level of DFT.

Results
The crystal system is trigonal. As for the uncorrected energy: -0.125 hartree per atom.

Unit cell a=4.712 b=4.712 c=7.568 alpha=90.00 beta=90.00 gamma=120.00
Fractional coordinates of all 6 atoms:
La  0.000  0.000  0.000
Ho  0.000  0.000  0.501
Zn  0.333  0.667  0.215
Zn  0.667  0.333  0.687
In  0.333  0.667  0.762
In  0.667  0.333  0.288

=====

Computed, not measured: crystalline LiHoIn at its relaxed geometry at the PBE level of DFT.

Results
The crystal system is cubic. As for the uncorrected energy: -0.102 hartree per atom.

Unit cell a=5.002 b=5.002 c=5.002 alpha=60.00 beta=60.00 gamma=60.00
Fractional coordinates of all 3 atoms:
Li  0.000  0.000  0.000
Ho  0.750  0.750  0.750
In  0.500  0.500  0.500

=====

Computed, not measured: crystalline LiHoIn at its relaxed geometry at the PBE level of DFT.

Results
The crystal system is cubic. As for the uncorrected energy: -0.113 hartree per atom.

Unit cell a=4.944 b=4.944 c=4.944 alpha=60.00 beta=60.00 gamma=60.00
Fractional coordinates of all 3 atoms:
Li  0.000  0.000  0.000
Ho  0.500  0.500  0.500
In  0.750  0.750  0.750

=====

uncorrected energy of number 1 (LaHoIn2Pd4)?
-0.194 hartree per atom

=====

Which formula does entry 3 have?
LiHoIn

=====

What is the uncorrected energy in the third record?
-0.102 hartree per atom